(1)
! Nd5Sm2Ag4 PBE optimized geometry; values from VASP
! **DOS at the Fermi energy**: 14.6 states/eV per cell
! **DFT total energy**: -4.016 eV/atom
&SYSTEM
  ibrav = 0, nat = 11, ntyp = 3
/
ATOMIC_SPECIES
Nd 144.24 Nd.upf
Sm 150.36 Sm.upf
Ag 107.87 Ag.upf
CELL_PARAMETERS angstrom
11.785 -1.737 0.000
11.785 1.737 0.000
-0.762 0.000 7.994
ATOMIC_POSITIONS crystal
Nd 0.000 0.000 0.000
Nd 0.275 0.275 0.301
Nd 0.346 0.346 0.922
Nd 0.654 0.654 0.078
Nd 0.725 0.725 0.699
Sm 0.423 0.423 0.320
Sm 0.577 0.577 0.680
Ag 0.149 0.149 0.426
Ag 0.447 0.447 0.695
Ag 0.553 0.553 0.305
Ag 0.851 0.851 0.574

=====

(2)
! CoWCl2 PBE optimized geometry; values from VASP
! **DOS at the Fermi energy**: 4.8 states/eV per cell
! **DFT total energy**: -5.273 eV/atom
! **ΔE to the lowest computed polymorph**: 0.787 eV/atom
! **Formation energy without anion corrections**: 0.665 eV/atom
&SYSTEM
  ibrav = 0, nat = 4, ntyp = 3
/
ATOMIC_SPECIES
Co 58.93 Co.upf
W 183.84 W.upf
Cl 35.45 Cl.upf
CELL_PARAMETERS angstrom
2.886 0.000 0.000
0.000 4.138 0.000
-1.441 0.000 5.431
ATOMIC_POSITIONS crystal
Co 0.000 0.000 0.000
W 0.500 0.000 0.500
Cl 0.373 0.500 0.246
Cl 0.627 0.500 0.754